Entry 1:
Material: Fe2IrBr
Method: DFT, GGA-PBE
State: optimized geometry

Properties
Space group: No. 99
Spin magnetization in μB/cell: 6.71
Fermi-level density of states in states/eV/f.u.: 4.255
Energy relative to the lowest polymorph listed for this composition in meV per atom: 129
ρ in g/cm³: 9.659

Lattice parameters (Å, degrees): 3.1018 3.1018 6.8577 90.00 90.00 90.00
Fractional positions:
1 Fe 0.0000 0.0000 0.0000
2 Fe 0.5000 0.5000 0.2053
3 Ir 0.0000 0.0000 0.3840
4 Br 0.5000 0.5000 0.7686

***

Entry 2:
Material: FeIr2Br
Method: DFT, GGA-PBE
State: optimized geometry

Properties
Space group: No. 123
Spin magnetization in μB/cell: 4.46
Fermi-level density of states in states/eV/f.u.: 5.187
Energy relative to the lowest polymorph listed for this composition in meV per atom: 537
ρ in g/cm³: 13.764

Lattice parameters (Å, degrees): 4.1193 4.1193 3.6984 90.00 90.00 90.00
Fractional positions:
1 Fe 0.0000 0.0000 0.0000
2 Ir 0.0000 0.5000 0.5000
3 Ir 0.5000 0.0000 0.5000
4 Br 0.5000 0.5000 0.0000

***

Entry 3:
Material: Fe2IrBr
Method: DFT, GGA-PBE
State: optimized geometry

Properties
Space group: No. 8
Spin magnetization in μB/cell: 6.18
Fermi-level density of states in states/eV/f.u.: 4.080
Energy relative to the lowest polymorph listed for this composition in meV per atom: 128
ρ in g/cm³: 8.319

Lattice parameters (Å, degrees): 4.2613 4.2613 6.5409 94.26 94.26 40.32
Fractional positions:
1 Fe 0.0000 0.0000 0.0000
2 Fe 0.7228 0.7228 0.1835
3 Ir 0.4529 0.4529 0.3218
4 Br 0.4130 0.4130 0.7068

***

Number 1: formation energy without anion corrections 0.462 eV/atom. Number 2: formation energy without anion corrections 1.036 eV/atom. Number 3: formation energy without anion corrections 0.462 eV/atom.